DFT (GGA-PBE) results for an optimized crystal structure of Pm2Al3Pt4.

Summary:
The value obtained for the density is 11385 kg/m3. The value obtained for the formation energy is -1.130 eV/atom. The space group is No. 64. The calculation puts the magnetization at 0.0 μB/f.u. The value obtained for the density of states at the Fermi level is 5.2 states/eV/f.u. For the uncorrected energy, the calculation gives -0.4497 Ry/atom.

Cell: 5.6715 7.6041 8.2876 Å, 90.00 110.01 90.00°
Last column: nearest neighbours and their distance in Å.
Fractional positions:
1 Pt 0.1885 0.7500 0.8770  3 Al 2.56-2.59, 2 Pt 2.84
2 Pt 0.6885 0.7500 0.8770  3 Al 2.56-2.59, 2 Pt 2.84
3 Pt 0.8115 0.2500 0.1230  3 Al 2.56-2.59, 2 Pt 2.84
4 Pt 0.8164 0.0257 0.6327  5 Al 2.61-2.87
5 Pt 0.1836 0.9743 0.3673  5 Al 2.61-2.87
6 Pt 0.3164 0.4743 0.6327  5 Al 2.61-2.87
7 Pt 0.6836 0.5257 0.3673  5 Al 2.61-2.87
8 Pt 0.3115 0.2500 0.1230  3 Al 2.56-2.59, 2 Pt 2.84
9 Al 0.5000 0.5000 0.0000  4 Pt 2.56
10 Al 0.0223 0.7500 0.5446  5 Pt 2.59-2.62, 2 Al 2.84
11 Al 0.9777 0.2500 0.4554  5 Pt 2.59-2.62, 2 Al 2.84
12 Al 0.0000 0.0000 0.0000  4 Pt 2.56
13 Al 0.4777 0.2500 0.4554  5 Pt 2.59-2.62, 2 Al 2.84
14 Al 0.5223 0.7500 0.5446  5 Pt 2.59-2.62, 2 Al 2.84
15 Pm 0.3932 0.0922 0.7864  8 Pt 3.05-3.38, 4 Al 3.18-3.36
16 Pm 0.8932 0.4078 0.7864  8 Pt 3.05-3.38, 4 Al 3.18-3.36
17 Pm 0.1068 0.5922 0.2136  8 Pt 3.05-3.38, 4 Al 3.18-3.36
18 Pm 0.6068 0.9078 0.2136  8 Pt 3.05-3.38, 4 Al 3.18-3.36